Entry 1:
# Li5Mn3Nb2O10 GGA+U optimized geometry
data_Li5Mn3Nb2O10
_chemical_formula_sum 'Li5 Mn3 Nb2 O10'
_symmetry_space_group_name_H-M 'P -1'
_symmetry_Int_Tables_number 2
_cell_length_a 5.3180
_cell_length_b 5.3637
_cell_length_c 8.1239
_cell_angle_alpha 71.88
_cell_angle_beta 72.19
_cell_angle_gamma 79.63
loop_
_symmetry_equiv_pos_as_xyz
'x,y,z'
'-x,-y,-z'
loop_
_atom_site_label
_atom_site_fract_x
_atom_site_fract_y
_atom_site_fract_z
Li1 0.0000 0.0000 0.0000
Li2 0.4816 0.8785 0.7227
Li3 0.4900 0.7295 0.0983
Mn1 0.0044 0.1902 0.6051
Mn2 0.5000 0.5000 0.5000
Nb1 0.0146 0.4054 0.1849
O1 0.2307 0.8244 0.5751
O2 0.2369 0.2759 0.7566
O3 0.2366 0.6520 0.9562
O4 0.2386 0.0790 0.1510
O5 0.2410 0.4504 0.3403
# N(E_F) = 0.933 states/eV per cell
# Size of the total moment = 16.0 μB/cell
# V = 208.8 Å³/cell
# Total DFT energy (no corrections) = -7.167 eV/atom

***

Entry 2:
# Li4Mn3NbO8 GGA+U optimized geometry
data_Li4Mn3NbO8
_chemical_formula_sum 'Li16 Mn12 Nb4 O32'
_symmetry_space_group_name_H-M 'C 1 2 1'
_symmetry_Int_Tables_number 5
_cell_length_a 10.6363
_cell_length_b 6.3165
_cell_length_c 10.3496
_cell_angle_alpha 90.00
_cell_angle_beta 107.60
_cell_angle_gamma 90.00
loop_
_symmetry_equiv_pos_as_xyz
'x,y,z'
'-x,y,-z'
'x+1/2,y+1/2,z'
'-x+1/2,y+1/2,-z'
loop_
_atom_site_label
_atom_site_fract_x
_atom_site_fract_y
_atom_site_fract_z
Li1 0.0000 0.0000 0.0000
Li2 0.0000 0.0492 0.5000
Li3 0.0000 0.4688 0.0000
Li4 0.0000 0.5190 0.5000
Li5 0.2369 0.7443 0.4893
Li6 0.2373 0.7749 0.9897
Mn1 0.0001 0.2597 0.2503
Mn2 0.0001 0.7598 0.2502
Mn3 0.2499 0.0097 0.7497
Nb1 0.2501 0.0098 0.2500
O1 0.1082 0.5359 0.3567
O2 0.1082 0.9834 0.8567
O3 0.1266 0.7406 0.6381
O4 0.1266 0.7789 0.1382
O5 0.1367 0.2382 0.1305
O6 0.1367 0.2812 0.6305
O7 0.1383 0.0206 0.3768
O8 0.1383 0.4987 0.8767
# Size of the total moment = 56.0 μB/cell
# Energy above the most stable polymorph in this dataset = 3.0 meV/atom
# V = 662.8 Å³/cell
# Total DFT energy (no corrections) = -6.969 eV/atom

***

Entry 3:
# Li4Mn3Nb3Sb2O16 GGA+U optimized geometry
data_Li4Mn3Nb3Sb2O16
_chemical_formula_sum 'Li4 Mn3 Nb3 Sb2 O16'
_symmetry_space_group_name_H-M 'P 1'
_symmetry_Int_Tables_number 1
_cell_length_a 6.0738
_cell_length_b 6.1217
_cell_length_c 10.5685
_cell_angle_alpha 89.20
_cell_angle_beta 89.31
_cell_angle_gamma 60.36
loop_
_symmetry_equiv_pos_as_xyz
'x,y,z'
loop_
_atom_site_label
_atom_site_fract_x
_atom_site_fract_y
_atom_site_fract_z
Li1 0.0000 0.0000 0.0000
Li2 0.0108 0.9885 0.5194
Li3 0.3447 0.3239 0.6130
Li4 0.6786 0.6525 0.1126
Mn1 0.1744 0.1532 0.2994
Mn2 0.3494 0.8210 0.7881
Mn3 0.8361 0.3277 0.7863
Nb1 0.1602 0.6745 0.2789
Nb2 0.6379 0.1580 0.2984
Nb3 0.8209 0.8119 0.7768
Sb1 0.3283 0.3275 0.9815
Sb2 0.6616 0.6244 0.5124
O1 0.0216 0.4968 0.1956
O2 0.1501 0.1633 0.8931
O3 0.1567 0.6764 0.8990
O4 0.3152 0.8129 0.4119
O5 0.3346 0.3376 0.4041
O6 0.4989 0.4822 0.1932
O7 0.5097 0.9955 0.1931
O8 0.5282 0.9698 0.6682
O9 0.5385 0.4929 0.6692
O10 0.6821 0.1533 0.8905
O11 0.6839 0.6494 0.8968
O12 0.8417 0.2867 0.4074
O13 0.8568 0.8472 0.3986
O14 0.9927 0.5037 0.6800
O15 0.9959 0.9957 0.1858
O16 0.9975 0.9960 0.6984
# Size of the total moment = 2.0 μB/cell
# V = 341.5 Å³/cell
# Total DFT energy (no corrections) = -7.069 eV/atom

***

Entry 4:
# Li4Mn3Nb2Sn3O16 GGA+U optimized geometry
data_Li4Mn3Nb2Sn3O16
_chemical_formula_sum 'Li8 Mn6 Nb4 Sn6 O32'
_symmetry_space_group_name_H-M 'C 1 m 1'
_symmetry_Int_Tables_number 8
_cell_length_a 10.9312
_cell_length_b 6.2145
_cell_length_c 10.0155
_cell_angle_alpha 90.00
_cell_angle_beta 90.44
_cell_angle_gamma 90.00
loop_
_symmetry_equiv_pos_as_xyz
'x,y,z'
'x,-y,z'
'x+1/2,y+1/2,z'
'x+1/2,-y+1/2,z'
loop_
_atom_site_label
_atom_site_fract_x
_atom_site_fract_y
_atom_site_fract_z
Li1 0.0000 0.0000 0.0000
Li2 0.0082 0.0000 0.5108
Li3 0.1789 0.5000 0.0897
Li4 0.3318 0.0000 0.5899
Mn1 0.0849 0.2550 0.7861
Mn2 0.1775 0.0000 0.2820
Nb1 0.1526 0.5000 0.5154
Nb2 0.3273 0.0000 0.9987
Sn1 0.3297 0.5000 0.7771
Sn2 0.4225 0.2472 0.2798
O1 0.0061 0.0000 0.1830
O2 0.0201 0.5000 0.6341
O3 0.0874 0.2564 0.4036
O4 0.1729 0.0000 0.9165
O5 0.1759 0.5000 0.8888
O6 0.2451 0.2842 0.6396
O7 0.2754 0.2223 0.1462
O8 0.3473 0.0000 0.3919
O9 0.3485 0.5000 0.3956
O10 0.4109 0.2450 0.9057
O11 0.4923 0.0000 0.1557
O12 0.4965 0.5000 0.6942
# Size of the total moment = 30.0 μB/cell
# V = 680.4 Å³/cell
# Total DFT energy (no corrections) = -7.030 eV/atom

***

Entry 5:
# Li4Mn3Nb3Sn2O16 GGA+U optimized geometry
data_Li4Mn3Nb3Sn2O16
_chemical_formula_sum 'Li8 Mn6 Nb6 Sn4 O32'
_symmetry_space_group_name_H-M 'C 1 m 1'
_symmetry_Int_Tables_number 8
_cell_length_a 10.9848
_cell_length_b 6.1154
_cell_length_c 10.0613
_cell_angle_alpha 90.00
_cell_angle_beta 91.68
_cell_angle_gamma 90.00
loop_
_symmetry_equiv_pos_as_xyz
'x,y,z'
'x,-y,z'
'x+1/2,y+1/2,z'
'x+1/2,-y+1/2,z'
loop_
_atom_site_label
_atom_site_fract_x
_atom_site_fract_y
_atom_site_fract_z
Li1 0.0000 0.0000 0.0000
Li2 0.0125 0.0000 0.5169
Li3 0.1676 0.5000 0.9127
Li4 0.3410 0.0000 0.4266
Mn1 0.3450 0.5000 0.2344
Mn2 0.4285 0.2439 0.7271
Nb1 0.1008 0.2520 0.2322
Nb2 0.1843 0.0000 0.7383
Sn1 0.1876 0.5000 0.5182
Sn2 0.3556 0.0000 0.0011
O1 0.0185 0.0000 0.3328
O2 0.0243 0.0000 0.8216
O3 0.0328 0.5000 0.3593
O4 0.1053 0.2463 0.6174
O5 0.1703 0.5000 0.1180
O6 0.1851 0.0000 0.1248
O7 0.2415 0.2709 0.3590
O8 0.2615 0.2184 0.8682
O9 0.3244 0.0000 0.6200
O10 0.3555 0.5000 0.6011
O11 0.4418 0.2495 0.1194
O12 0.4910 0.0000 0.8683
# N(E_F) = 6.021 states/eV per cell
# Size of the total moment = 29.4 μB/cell
# V = 675.6 Å³/cell
# Total DFT energy (no corrections) = -7.304 eV/atom

***

Entry 6:
# Li4Mn3Nb3Te2O16 GGA+U optimized geometry
data_Li4Mn3Nb3Te2O16
_chemical_formula_sum 'Li8 Mn6 Nb6 Te4 O32'
_symmetry_space_group_name_H-M 'C 1 m 1'
_symmetry_Int_Tables_number 8
_cell_length_a 11.1125
_cell_length_b 6.1173
_cell_length_c 10.5502
_cell_angle_alpha 90.00
_cell_angle_beta 90.44
_cell_angle_gamma 90.00
loop_
_symmetry_equiv_pos_as_xyz
'x,y,z'
'x,-y,z'
'x+1/2,y+1/2,z'
'x+1/2,-y+1/2,z'
loop_
_atom_site_label
_atom_site_fract_x
_atom_site_fract_y
_atom_site_fract_z
Li1 0.0000 0.0000 0.0000
Li2 0.0055 0.0000 0.5096
Li3 0.1578 0.5000 0.5873
Li4 0.3316 0.0000 0.0922
Mn1 0.3387 0.5000 0.2861
Mn2 0.4129 0.2458 0.7792
Nb1 0.0954 0.2595 0.2727
Nb2 0.1780 0.0000 0.7578
Te1 0.1697 0.5000 0.9762
Te2 0.3591 0.0000 0.4948
O1 0.0025 0.0000 0.1824
O2 0.0054 0.5000 0.1701
O3 0.0097 0.0000 0.6930
O4 0.0865 0.2548 0.8910
O5 0.1368 0.0000 0.3879
O6 0.1608 0.5000 0.3945
O7 0.2367 0.2497 0.1759
O8 0.2420 0.2312 0.6595
O9 0.3114 0.0000 0.8856
O10 0.3293 0.5000 0.8986
O11 0.4331 0.2467 0.4043
O12 0.4753 0.0000 0.6335
# N(E_F) = 1.323 states/eV per cell
# Size of the total moment = 32.0 μB/cell
# V = 717.2 Å³/cell
# Total DFT energy (no corrections) = -7.152 eV/atom

***

Entry 7:
# Li4Ti3Mn2Nb3O16 GGA+U optimized geometry
data_Li4Ti3Mn2Nb3O16
_chemical_formula_sum 'Li8 Ti6 Mn4 Nb6 O32'
_symmetry_space_group_name_H-M 'C 1 m 1'
_symmetry_Int_Tables_number 8
_cell_length_a 10.5796
_cell_length_b 6.0122
_cell_length_c 10.1329
_cell_angle_alpha 90.00
_cell_angle_beta 90.62
_cell_angle_gamma 90.00
loop_
_symmetry_equiv_pos_as_xyz
'x,y,z'
'x,-y,z'
'x+1/2,y+1/2,z'
'x+1/2,-y+1/2,z'
loop_
_atom_site_label
_atom_site_fract_x
_atom_site_fract_y
_atom_site_fract_z
Li1 0.0000 0.0000 0.0000
Li2 0.0000 0.0000 0.4993
Li3 0.1760 0.5000 0.8918
Li4 0.3429 0.0000 0.3983
Ti1 0.3434 0.5000 0.2280
Ti2 0.4228 0.2470 0.7186
Mn1 0.1739 0.5000 0.5034
Mn2 0.3337 0.0000 0.9983
Nb1 0.0900 0.2727 0.2116
Nb2 0.1752 0.0000 0.7179
O1 0.0046 0.0000 0.3181
O2 0.0048 0.0000 0.8192
O3 0.0247 0.5000 0.3504
O4 0.0818 0.2335 0.6083
O5 0.1599 0.0000 0.0999
O6 0.1949 0.5000 0.0999
O7 0.2529 0.2757 0.3271
O8 0.2668 0.2292 0.8298
O9 0.3402 0.0000 0.6090
O10 0.3518 0.5000 0.6118
O11 0.4298 0.2621 0.1094
O12 0.4891 0.0000 0.8258
# N(E_F) = 10.360 states/eV per cell
# Size of the total moment = 18.7 μB/cell
# V = 644.5 Å³/cell
# Total DFT energy (no corrections) = -8.015 eV/atom

***

Entry 8:
# Li4Mn2Nb3V3O16 GGA+U optimized geometry
data_Li4Mn2Nb3V3O16
_chemical_formula_sum 'Li8 Mn4 Nb6 V6 O32'
_symmetry_space_group_name_H-M 'C 1 m 1'
_symmetry_Int_Tables_number 8
_cell_length_a 10.5541
_cell_length_b 6.1109
_cell_length_c 10.0081
_cell_angle_alpha 90.00
_cell_angle_beta 90.10
_cell_angle_gamma 90.00
loop_
_symmetry_equiv_pos_as_xyz
'x,y,z'
'x,-y,z'
'x+1/2,y+1/2,z'
'x+1/2,-y+1/2,z'
loop_
_atom_site_label
_atom_site_fract_x
_atom_site_fract_y
_atom_site_fract_z
Li1 0.0000 0.0000 0.0000
Li2 0.0112 0.0000 0.5122
Li3 0.1695 0.5000 0.1023
Li4 0.3342 0.0000 0.6214
Mn1 0.1587 0.5000 0.5235
Mn2 0.3237 0.0000 0.9912
Nb1 0.3261 0.5000 0.7849
Nb2 0.4155 0.2475 0.2905
V1 0.0808 0.2558 0.7883
V2 0.1698 0.0000 0.2920
O1 0.0153 0.5000 0.6732
O2 0.0791 0.2365 0.3986
O3 0.1502 0.0000 0.8918
O4 0.1713 0.5000 0.9035
O5 0.2406 0.2764 0.6676
O6 0.2625 0.2280 0.1775
O7 0.3405 0.0000 0.4046
O8 0.3444 0.5000 0.4027
O9 0.4166 0.2657 0.8981
O10 0.4894 0.0000 0.1799
O11 0.4929 0.5000 0.6884
O12 0.4986 0.5000 0.1855
# N(E_F) = 8.377 states/eV per cell
# Size of the total moment = 19.7 μB/cell
# V = 645.5 Å³/cell
# Total DFT energy (no corrections) = -7.611 eV/atom